Entry 1:
# Sr2TbOsO6

An optimized crystal structure of Sr2TbOsO6 (PBE-GGA, Alexandria via LeMat-Bulk).

Results
- E_tot (eV/atom) = -7.360
- volume (A^3/atom) = 14.27
- uncorrected formation energy (meV per atom) = -2462

Cell lengths 5.833, 5.907, 8.285 Å; angles 90.00, 90.36, 90.00 degrees
Fractional positions:
O1 0.271 0.698 0.040
O2 0.695 0.272 0.542
Tb1 0.000 0.500 0.500
Sr1 0.509 0.538 0.750
O3 0.771 0.802 0.540
O4 0.729 0.302 0.960
O5 0.423 0.978 0.733
O6 0.305 0.728 0.458
Sr2 0.991 0.038 0.750
Os1 0.500 0.000 0.500
Tb2 0.500 0.000 0.000
O7 0.229 0.198 0.460
O8 0.077 0.478 0.767
Sr3 0.009 0.962 0.250
Sr4 0.491 0.462 0.250
O9 0.195 0.228 0.042
O10 0.805 0.772 0.958
O11 0.923 0.522 0.233
Os2 0.000 0.500 0.000
O12 0.577 0.022 0.267

---

Entry 2:
# Mg2CuIr

An optimized crystal structure of Mg2CuIr (PBE-GGA, Alexandria via LeMat-Bulk).

Results
- formation energy from the elements (kJ/mol of atoms) = -4.7
- E_tot (eV/atom) = -4.085
- volume (A^3/atom) = 15.69

Cell lengths 2.812, 2.812, 8.526 Å; angles 90.00, 90.00, 111.46 degrees
Fractional positions:
Cu1 0.500 0.500 0.250
Mg1 0.000 0.000 0.998
Mg2 0.000 0.000 0.502
Ir1 0.500 0.500 0.750

---

Entry 3:
# Zr5P

An optimized crystal structure of Zr5P (PBE-GGA, Alexandria via LeMat-Bulk).

Results
- formation energy from the elements (kJ/mol of atoms) = -33.9
- E_tot (eV/atom) = -8.376
- volume (A^3/atom) = 20.93
- offset from the most stable computed form (eV per atom) = 0.0481

Cell lengths 3.509, 3.509, 10.202 Å; angles 90.00, 90.00, 90.00 degrees
Fractional positions:
Zr1 0.000 0.000 0.137
Zr2 0.000 0.000 0.500
Zr3 0.500 0.500 0.683
P1 0.500 0.500 0.000
Zr4 0.000 0.000 0.863
Zr5 0.500 0.500 0.317

---

Entry 4:
# Cs4TlCd2

An optimized crystal structure of Cs4TlCd2 (PBE-GGA, Alexandria via LeMat-Bulk).

Results
- formation energy from the elements (kJ/mol of atoms) = 7.7
- E_tot (eV/atom) = -1.007
- volume (A^3/atom) = 74.28

Cell lengths 7.475, 7.475, 10.702 Å; angles 110.44, 110.44, 90.00 degrees
Fractional positions:
Cs1 0.000 0.500 0.000
Cs2 0.791 0.791 0.582
Tl1 0.000 0.000 0.000
Cs3 0.500 0.000 0.000
Cd1 0.419 0.419 0.838
Cd2 0.581 0.581 0.162
Cs4 0.209 0.209 0.418

---

Copy entry 1 word for word.
# Sr2TbOsO6

An optimized crystal structure of Sr2TbOsO6 (PBE-GGA, Alexandria via LeMat-Bulk).

Results
- E_tot (eV/atom) = -7.360
- volume (A^3/atom) = 14.27
- uncorrected formation energy (meV per atom) = -2462

Cell lengths 5.833, 5.907, 8.285 Å; angles 90.00, 90.36, 90.00 degrees
Fractional positions:
O1 0.271 0.698 0.040
O2 0.695 0.272 0.542
Tb1 0.000 0.500 0.500
Sr1 0.509 0.538 0.750
O3 0.771 0.802 0.540
O4 0.729 0.302 0.960
O5 0.423 0.978 0.733
O6 0.305 0.728 0.458
Sr2 0.991 0.038 0.750
Os1 0.500 0.000 0.500
Tb2 0.500 0.000 0.000
O7 0.229 0.198 0.460
O8 0.077 0.478 0.767
Sr3 0.009 0.962 0.250
Sr4 0.491 0.462 0.250
O9 0.195 0.228 0.042
O10 0.805 0.772 0.958
O11 0.923 0.522 0.233
Os2 0.000 0.500 0.000
O12 0.577 0.022 0.267

---

Question: Among the records above, which one has the highest E_tot?
Answer: Cs4TlCd2

---

Question: Among the records above, which one has the lowest E_tot?
Answer: Zr5P